# 1
A plane-wave DFT calculation with PBE was carried out for crystalline BeCd3Re at its relaxed geometry.

- relative energy among the computed polymorphs (eV per atom) = 0.0000
- total energy (eV per formula unit) = -13.1
- D(E_F) (states/eV per cell) = 2.3
- formation energy (eV/f.u.) = 5.87
- size of the total moment (μB/f.u.) = 2.682
- V (Å³/atom) = 18.9

CIF file:
```
data_BeCd3Re
_chemical_formula_sum 'Be1 Cd3 Re1'
_cell_length_a 4.552
_cell_length_b 4.552
_cell_length_c 4.552
_cell_angle_alpha 90.00
_cell_angle_beta 90.00
_cell_angle_gamma 90.00
_space_group_name_H-M_alt 'P 1'
_space_group_IT_number 1
loop_
_space_group_symop_operation_xyz
'x,y,z'
loop_
_atom_site_label
_atom_site_type_symbol
_atom_site_fract_x
_atom_site_fract_y
_atom_site_fract_z
_atom_site_occupancy
Re1 Re 0.500 0.500 0.500 1
Be1 Be 0.000 0.000 0.000 1
Cd1 Cd 0.000 0.500 0.000 1
Cd2 Cd 0.000 0.000 0.500 1
Cd3 Cd 0.500 0.000 0.000 1
```


# 2
A plane-wave DFT calculation with PBE was carried out for crystalline Li6Ag2Ge at its relaxed geometry.

- relative energy among the computed polymorphs (eV per atom) = 0.1827
- total energy (eV per formula unit) = -22.3
- D(E_F) (states/eV per cell) = 1.2
- formation energy (eV/f.u.) = -0.47
- size of the total moment (μB/f.u.) = 0.000
- V (Å³/atom) = 20.6

CIF file:
```
data_Li6Ag2Ge
_chemical_formula_sum 'Li6 Ag2 Ge1'
_cell_length_a 4.364
_cell_length_b 6.248
_cell_length_c 7.781
_cell_angle_alpha 113.67
_cell_angle_beta 106.19
_cell_angle_gamma 90.00
_space_group_name_H-M_alt 'P 1'
_space_group_IT_number 1
loop_
_space_group_symop_operation_xyz
'x,y,z'
loop_
_atom_site_label
_atom_site_type_symbol
_atom_site_fract_x
_atom_site_fract_y
_atom_site_fract_z
_atom_site_occupancy
Ag1 Ag 0.663 0.667 0.333 1
Ag2 Ag 0.337 0.333 0.667 1
Li1 Li 0.845 0.074 0.683 1
Li2 Li 0.155 0.391 0.317 1
Li3 Li 0.500 0.768 0.000 1
Li4 Li 0.500 0.232 0.000 1
Li5 Li 0.155 0.926 0.317 1
Li6 Li 0.845 0.609 0.683 1
Ge1 Ge 0.000 0.000 0.000 1
```


# 3
A plane-wave DFT calculation with PBE was carried out for crystalline SrTc2As at its relaxed geometry.

- total energy (eV per formula unit) = -24.7
- D(E_F) (states/eV per cell) = 4.8
- formation energy (eV/f.u.) = 2.33
- size of the total moment (μB/f.u.) = 0.585
- V (Å³/atom) = 18.5

CIF file:
```
data_SrTc2As
_chemical_formula_sum 'Sr1 Tc2 As1'
_cell_length_a 4.710
_cell_length_b 4.710
_cell_length_c 4.710
_cell_angle_alpha 60.00
_cell_angle_beta 60.00
_cell_angle_gamma 60.00
_space_group_name_H-M_alt 'P 1'
_space_group_IT_number 1
loop_
_space_group_symop_operation_xyz
'x,y,z'
loop_
_atom_site_label
_atom_site_type_symbol
_atom_site_fract_x
_atom_site_fract_y
_atom_site_fract_z
_atom_site_occupancy
As1 As 0.500 0.500 0.500 1
Tc1 Tc 0.000 0.000 0.000 1
Tc2 Tc 0.250 0.250 0.250 1
Sr1 Sr 0.750 0.750 0.750 1
```


# 4
A plane-wave DFT calculation with PBE was carried out for crystalline Nd12CdCo5 at its relaxed geometry.

- total energy (eV per formula unit) = -95.5
- D(E_F) (states/eV per cell) = 17.3
- formation energy (eV/f.u.) = -1.86
- size of the total moment (μB/f.u.) = 0.001
- V (Å³/atom) = 27.1

CIF file:
```
data_Nd12CdCo5
_chemical_formula_sum 'Nd12 Cd1 Co5'
_cell_length_a 8.592
_cell_length_b 8.592
_cell_length_c 8.592
_cell_angle_alpha 108.36
_cell_angle_beta 110.63
_cell_angle_gamma 109.44
_space_group_name_H-M_alt 'P 1'
_space_group_IT_number 1
loop_
_space_group_symop_operation_xyz
'x,y,z'
loop_
_atom_site_label
_atom_site_type_symbol
_atom_site_fract_x
_atom_site_fract_y
_atom_site_fract_z
_atom_site_occupancy
Nd1 Nd 0.482 0.184 0.298 1
Nd2 Nd 0.306 0.316 0.623 1
Nd3 Nd 0.694 0.684 0.377 1
Nd4 Nd 0.809 0.008 0.199 1
Nd5 Nd 0.114 0.816 0.298 1
Nd6 Nd 0.809 0.610 0.801 1
Nd7 Nd 0.694 0.316 0.010 1
Nd8 Nd 0.886 0.184 0.702 1
Nd9 Nd 0.518 0.816 0.702 1
Nd10 Nd 0.191 0.390 0.199 1
Nd11 Nd 0.306 0.684 0.990 1
Nd12 Nd 0.191 0.992 0.801 1
Co1 Co 0.500 0.888 0.388 1
Co2 Co 0.620 0.620 0.000 1
Co3 Co 0.500 0.112 0.612 1
Co4 Co 0.380 0.380 0.000 1
Co5 Co 0.000 0.000 0.000 1
Cd1 Cd 0.000 0.500 0.500 1
```


# 5
A plane-wave DFT calculation with PBE was carried out for crystalline Sr5Li4Mg at its relaxed geometry.

- total energy (eV per formula unit) = -17.6
- D(E_F) (states/eV per cell) = 10.0
- formation energy (eV/f.u.) = 0.09
- size of the total moment (μB/f.u.) = 0.000
- V (Å³/atom) = 37.6

CIF file:
```
data_Sr5Li4Mg
_chemical_formula_sum 'Sr5 Li4 Mg1'
_cell_length_a 4.230
_cell_length_b 4.230
_cell_length_c 21.020
_cell_angle_alpha 90.00
_cell_angle_beta 90.00
_cell_angle_gamma 90.00
_space_group_name_H-M_alt 'P 1'
_space_group_IT_number 1
loop_
_space_group_symop_operation_xyz
'x,y,z'
loop_
_atom_site_label
_atom_site_type_symbol
_atom_site_fract_x
_atom_site_fract_y
_atom_site_fract_z
_atom_site_occupancy
Sr1 Sr 0.500 0.500 0.700 1
Sr2 Sr 0.500 0.500 0.500 1
Sr3 Sr 0.500 0.500 0.300 1
Sr4 Sr 0.500 0.500 0.099 1
Sr5 Sr 0.500 0.500 0.901 1
Li1 Li 0.000 0.000 0.600 1
Li2 Li 0.000 0.000 0.199 1
Li3 Li 0.000 0.000 0.400 1
Li4 Li 0.000 0.000 0.801 1
Mg1 Mg 0.000 0.000 0.000 1
```


# 6
A plane-wave DFT calculation with PBE was carried out for crystalline Zr2CuOsPb at its relaxed geometry.

- total energy (eV per formula unit) = -31.2
- D(E_F) (states/eV per cell) = 4.9
- formation energy (eV/f.u.) = 4.91
- size of the total moment (μB/f.u.) = 0.626
- V (Å³/atom) = 22.0

CIF file:
```
data_Zr2CuOsPb
_chemical_formula_sum 'Zr2 Cu1 Os1 Pb1'
_cell_length_a 4.867
_cell_length_b 4.653
_cell_length_c 4.867
_cell_angle_alpha 90.00
_cell_angle_beta 90.00
_cell_angle_gamma 90.00
_space_group_name_H-M_alt 'P 1'
_space_group_IT_number 1
loop_
_space_group_symop_operation_xyz
'x,y,z'
loop_
_atom_site_label
_atom_site_type_symbol
_atom_site_fract_x
_atom_site_fract_y
_atom_site_fract_z
_atom_site_occupancy
Zr1 Zr 0.000 0.000 0.500 1
Zr2 Zr 0.500 0.000 0.000 1
Cu1 Cu 0.000 0.000 0.000 1
Os1 Os 0.500 0.500 0.500 1
Pb1 Pb 0.000 0.500 0.000 1
```


# 7
A plane-wave DFT calculation with PBE was carried out for crystalline B2TeP at its relaxed geometry.

- relative energy among the computed polymorphs (eV per atom) = 0.0000
- total energy (eV per formula unit) = -20.9
- D(E_F) (states/eV per cell) = 1.3
- size of the total moment (μB/f.u.) = 0.000
- formation energy without anion corrections (eV/f.u.) = 0.959
- V (Å³/atom) = 15.5

CIF file:
```
data_B2TeP
_chemical_formula_sum 'B2 Te1 P1'
_cell_length_a 3.398
_cell_length_b 3.398
_cell_length_c 6.197
_cell_angle_alpha 90.00
_cell_angle_beta 90.00
_cell_angle_gamma 120.00
_space_group_name_H-M_alt 'P 1'
_space_group_IT_number 1
loop_
_space_group_symop_operation_xyz
'x,y,z'
loop_
_atom_site_label
_atom_site_type_symbol
_atom_site_fract_x
_atom_site_fract_y
_atom_site_fract_z
_atom_site_occupancy
B1 B 0.667 0.333 0.711 1
B2 B 0.667 0.333 0.430 1
Te1 Te 0.000 0.000 0.253 1
P1 P 0.333 0.667 0.797 1
```


# 8
A plane-wave DFT calculation with PBE was carried out for crystalline Mg2PaPd6 at its relaxed geometry.

- total energy (eV per formula unit) = -48.6
- D(E_F) (states/eV per cell) = 5.0
- formation energy (eV/f.u.) = -4.77
- size of the total moment (μB/f.u.) = 0.000
- V (Å³/atom) = 17.4

CIF file:
```
data_Mg2PaPd6
_chemical_formula_sum 'Mg2 Pa1 Pd6'
_cell_length_a 3.074
_cell_length_b 7.672
_cell_length_c 7.672
_cell_angle_alpha 120.00
_cell_angle_beta 90.00
_cell_angle_gamma 90.00
_space_group_name_H-M_alt 'P 1'
_space_group_IT_number 1
loop_
_space_group_symop_operation_xyz
'x,y,z'
loop_
_atom_site_label
_atom_site_type_symbol
_atom_site_fract_x
_atom_site_fract_y
_atom_site_fract_z
_atom_site_occupancy
Pd1 Pd 0.000 0.695 0.000 1
Pd2 Pd 0.000 0.000 0.695 1
Pd3 Pd 0.500 0.000 0.360 1
Pd4 Pd 0.500 0.640 0.640 1
Pd5 Pd 0.000 0.305 0.305 1
Pd6 Pd 0.500 0.360 0.000 1
Mg1 Mg 0.000 0.667 0.333 1
Mg2 Mg 0.000 0.333 0.667 1
Pa1 Pa 0.500 0.000 0.000 1
```


# 9
A plane-wave DFT calculation with PBE was carried out for crystalline LiRuW2 at its relaxed geometry.

- total energy (eV per formula unit) = -36.1
- D(E_F) (states/eV per cell) = 4.0
- formation energy (eV/f.u.) = 1.04
- size of the total moment (μB/f.u.) = 0.001
- V (Å³/atom) = 14.8

CIF file:
```
data_LiRuW2
_chemical_formula_sum 'Li1 Ru1 W2'
_cell_length_a 5.202
_cell_length_b 5.202
_cell_length_c 4.321
_cell_angle_alpha 65.49
_cell_angle_beta 65.49
_cell_angle_gamma 34.21
_space_group_name_H-M_alt 'P 1'
_space_group_IT_number 1
loop_
_space_group_symop_operation_xyz
'x,y,z'
loop_
_atom_site_label
_atom_site_type_symbol
_atom_site_fract_x
_atom_site_fract_y
_atom_site_fract_z
_atom_site_occupancy
W1 W 0.989 0.989 0.010 1
W2 W 0.511 0.511 0.490 1
Li1 Li 0.750 0.750 0.750 1
Ru1 Ru 0.250 0.250 0.250 1
```


# 10
A plane-wave DFT calculation with PBE was carried out for crystalline TmReB3 at its relaxed geometry.

- total energy (eV per formula unit) = -39.2
- D(E_F) (states/eV per cell) = 6.1
- formation energy (eV/f.u.) = -2.23
- size of the total moment (μB/f.u.) = 0.000
- V (Å³/atom) = 10.8

CIF file:
```
data_TmReB3
_chemical_formula_sum 'Tm2 Re2 B6'
_cell_length_a 3.644
_cell_length_b 3.088
_cell_length_c 9.735
_cell_angle_alpha 90.00
_cell_angle_beta 100.79
_cell_angle_gamma 90.00
_space_group_name_H-M_alt 'P 1'
_space_group_IT_number 1
loop_
_space_group_symop_operation_xyz
'x,y,z'
loop_
_atom_site_label
_atom_site_type_symbol
_atom_site_fract_x
_atom_site_fract_y
_atom_site_fract_z
_atom_site_occupancy
B1 B 0.626 0.750 0.253 1
B2 B 0.374 0.250 0.747 1
B3 B 0.476 0.250 0.953 1
B4 B 0.324 0.750 0.648 1
B5 B 0.524 0.750 0.047 1
B6 B 0.676 0.250 0.352 1
Re1 Re 0.792 0.250 0.584 1
Re2 Re 0.208 0.750 0.416 1
Tm1 Tm 0.075 0.250 0.150 1
Tm2 Tm 0.925 0.750 0.850 1
```


# 11
A plane-wave DFT calculation with PBE was carried out for crystalline BaAcSe2 at its relaxed geometry.

- relative energy among the computed polymorphs (eV per atom) = 0.2130
- total energy (eV per formula unit) = -20.0
- D(E_F) (states/eV per cell) = 2.3
- size of the total moment (μB/f.u.) = 0.001
- formation energy without anion corrections (eV/f.u.) = -6.968
- V (Å³/atom) = 29.9

CIF file:
```
data_BaAcSe2
_chemical_formula_sum 'Ba1 Ac1 Se2'
_cell_length_a 3.898
_cell_length_b 3.898
_cell_length_c 7.880
_cell_angle_alpha 90.00
_cell_angle_beta 90.00
_cell_angle_gamma 90.00
_space_group_name_H-M_alt 'P 1'
_space_group_IT_number 1
loop_
_space_group_symop_operation_xyz
'x,y,z'
loop_
_atom_site_label
_atom_site_type_symbol
_atom_site_fract_x
_atom_site_fract_y
_atom_site_fract_z
_atom_site_occupancy
Se1 Se 0.000 0.000 0.236 1
Se2 Se 0.000 0.000 0.764 1
Ba1 Ba 0.500 0.500 0.500 1
Ac1 Ac 0.500 0.500 0.000 1
```


# 12
A plane-wave DFT calculation with PBE was carried out for crystalline CeAsW at its relaxed geometry.

- total energy (eV per formula unit) = -23.4
- D(E_F) (states/eV per cell) = 10.1
- formation energy (eV/f.u.) = 0.11
- size of the total moment (μB/f.u.) = 0.597
- V (Å³/atom) = 21.3

CIF file:
```
data_CeAsW
_chemical_formula_sum 'Ce2 As2 W2'
_cell_length_a 4.327
_cell_length_b 4.327
_cell_length_c 8.271
_cell_angle_alpha 74.84
_cell_angle_beta 74.84
_cell_angle_gamma 60.00
_space_group_name_H-M_alt 'P 1'
_space_group_IT_number 1
loop_
_space_group_symop_operation_xyz
'x,y,z'
loop_
_atom_site_label
_atom_site_type_symbol
_atom_site_fract_x
_atom_site_fract_y
_atom_site_fract_z
_atom_site_occupancy
W1 W 0.711 0.711 0.866 1
W2 W 0.289 0.289 0.134 1
As1 As 0.604 0.604 0.188 1
As2 As 0.396 0.396 0.812 1
Ce1 Ce 0.129 0.129 0.613 1
Ce2 Ce 0.871 0.871 0.387 1
```